The following is a DFT calculation (PBE-GGA) of crystalline SbOsW2 at its relaxed geometry.

Values from the calculation:
- formation energy (no corrections) (meV per atom) = 547
- E_tot (eV per atom) = -9.77
- M_tot (μB/atom) = 0.000

Cell and atoms, written as CIF:
```
data_SbOsW2
_chemical_formula_sum 'Sb1 Os1 W2'
_space_group_name_H-M_alt 'P 1'
_space_group_IT_number 1
_cell_length_a 3.018
_cell_length_b 4.135
_cell_length_c 5.438
_cell_angle_alpha 90.00
_cell_angle_beta 90.00
_cell_angle_gamma 90.00
loop_
_space_group_symop_operation_xyz
'x,y,z'
loop_
_atom_site_label
_atom_site_type_symbol
_atom_site_fract_x
_atom_site_fract_y
_atom_site_fract_z
_atom_site_occupancy
Os1 Os 0.000 0.000 0.484 1
W1 W 0.500 0.500 0.255 1
W2 W 0.000 0.000 0.013 1
Sb1 Sb 0.500 0.500 0.748 1
```

The following is a DFT calculation (PBE-GGA) of crystalline K2PmAlF8 at its relaxed geometry.

Values from the calculation:
- formation energy (no corrections) (meV per atom) = -3433
- E_tot (eV per atom) = -5.57
- M_tot (μB/atom) = 0.009

Cell and atoms, written as CIF:
```
data_K2PmAlF8
_chemical_formula_sum 'K2 Pm1 Al1 F8'
_space_group_name_H-M_alt 'P 1'
_space_group_IT_number 1
_cell_length_a 5.150
_cell_length_b 5.933
_cell_length_c 6.829
_cell_angle_alpha 90.00
_cell_angle_beta 90.00
_cell_angle_gamma 90.79
loop_
_space_group_symop_operation_xyz
'x,y,z'
loop_
_atom_site_label
_atom_site_type_symbol
_atom_site_fract_x
_atom_site_fract_y
_atom_site_fract_z
_atom_site_occupancy
F1 F 0.765 0.780 0.000 1
F2 F 0.173 0.852 0.791 1
F3 F 0.296 0.272 0.500 1
K1 K 0.500 0.500 0.775 1
Al1 Al 0.000 0.000 0.000 1
Pm1 Pm 0.000 0.000 0.500 1
F4 F 0.704 0.728 0.500 1
F5 F 0.827 0.148 0.791 1
F6 F 0.827 0.148 0.209 1
F7 F 0.235 0.220 0.000 1
F8 F 0.173 0.852 0.209 1
K2 K 0.500 0.500 0.225 1
```

The following is a DFT calculation (PBE-GGA) of crystalline Li2AcZnPd at its relaxed geometry.

Values from the calculation:
- formation energy from the elements (meV per atom) = -348
- E_tot (eV per atom) = -3.23
- M_tot (μB/atom) = 0.000

Cell and atoms, written as CIF:
```
data_Li2AcZnPd
_chemical_formula_sum 'Li2 Ac1 Zn1 Pd1'
_space_group_name_H-M_alt 'P 1'
_space_group_IT_number 1
_cell_length_a 4.250
_cell_length_b 4.228
_cell_length_c 6.736
_cell_angle_alpha 108.29
_cell_angle_beta 108.39
_cell_angle_gamma 90.00
loop_
_space_group_symop_operation_xyz
'x,y,z'
loop_
_atom_site_label
_atom_site_type_symbol
_atom_site_fract_x
_atom_site_fract_y
_atom_site_fract_z
_atom_site_occupancy
Pd1 Pd 0.834 0.834 0.669 1
Zn1 Zn 0.196 0.696 0.392 1
Li1 Li 0.699 0.199 0.398 1
Li2 Li 0.057 0.057 0.113 1
Ac1 Ac 0.426 0.426 0.853 1
```

The following is a DFT calculation (PBE-GGA) of crystalline Na3HfMn2Se6 at its relaxed geometry.

Values from the calculation:
- formation energy (no corrections) (meV per atom) = -949
- E_tot (eV per atom) = -5.38
- M_tot (μB/atom) = 0.750

Cell and atoms, written as CIF:
```
data_Na3HfMn2Se6
_chemical_formula_sum 'Na3 Hf1 Mn2 Se6'
_space_group_name_H-M_alt 'P 1'
_space_group_IT_number 1
_cell_length_a 6.695
_cell_length_b 6.695
_cell_length_c 7.337
_cell_angle_alpha 98.92
_cell_angle_beta 98.92
_cell_angle_gamma 119.62
loop_
_space_group_symop_operation_xyz
'x,y,z'
loop_
_atom_site_label
_atom_site_type_symbol
_atom_site_fract_x
_atom_site_fract_y
_atom_site_fract_z
_atom_site_occupancy
Na1 Na 0.166 0.834 0.500 1
Se1 Se 0.931 0.596 0.787 1
Se2 Se 0.404 0.069 0.213 1
Mn1 Mn 0.333 0.667 0.000 1
Mn2 Mn 0.667 0.333 0.000 1
Na2 Na 0.834 0.166 0.500 1
Se3 Se 0.266 0.266 0.790 1
Se4 Se 0.596 0.931 0.787 1
Hf1 Hf 0.000 0.000 0.000 1
Se5 Se 0.734 0.734 0.210 1
Se6 Se 0.069 0.404 0.213 1
Na3 Na 0.500 0.500 0.500 1
```

The following is a DFT calculation (PBE-GGA) of crystalline TcSnSbW2 at its relaxed geometry.

Values from the calculation:
- formation energy (no corrections) (meV per atom) = 2378
- E_tot (eV per atom) = -6.50
- M_tot (μB/atom) = 0.288

Cell and atoms, written as CIF:
```
data_TcSnSbW2
_chemical_formula_sum 'Tc1 Sn1 Sb1 W2'
_space_group_name_H-M_alt 'P 1'
_space_group_IT_number 1
_cell_length_a 4.956
_cell_length_b 4.862
_cell_length_c 4.956
_cell_angle_alpha 90.00
_cell_angle_beta 90.00
_cell_angle_gamma 90.00
loop_
_space_group_symop_operation_xyz
'x,y,z'
loop_
_atom_site_label
_atom_site_type_symbol
_atom_site_fract_x
_atom_site_fract_y
_atom_site_fract_z
_atom_site_occupancy
W1 W 0.500 0.000 0.000 1
Sn1 Sn 0.000 0.000 0.000 1
Sb1 Sb 0.500 0.500 0.500 1
W2 W 0.000 0.000 0.500 1
Tc1 Tc 0.000 0.500 0.000 1
```

The following is a DFT calculation (PBE-GGA) of crystalline NaSn2Bi at its relaxed geometry.

Values from the calculation:
- formation energy from the elements (meV per atom) = 20
- E_tot (eV per atom) = -3.28
- M_tot (μB/atom) = 0.000

Cell and atoms, written as CIF:
```
data_NaSn2Bi
_chemical_formula_sum 'Na1 Sn2 Bi1'
_space_group_name_H-M_alt 'P 1'
_space_group_IT_number 1
_cell_length_a 5.042
_cell_length_b 5.042
_cell_length_c 6.944
_cell_angle_alpha 68.71
_cell_angle_beta 68.71
_cell_angle_gamma 60.00
loop_
_space_group_symop_operation_xyz
'x,y,z'
loop_
_atom_site_label
_atom_site_type_symbol
_atom_site_fract_x
_atom_site_fract_y
_atom_site_fract_z
_atom_site_occupancy
Sn1 Sn 0.243 0.243 0.271 1
Sn2 Sn 0.089 0.089 0.734 1
Na1 Na 0.674 0.674 0.979 1
Bi1 Bi 0.494 0.494 0.517 1
```

The following is a DFT calculation (PBE-GGA) of crystalline PmMg2Pb5 at its relaxed geometry.

Values from the calculation:
- formation energy from the elements (meV per atom) = -138
- E_tot (eV per atom) = -3.45
- M_tot (μB/atom) = 0.000
- E above lowest polymorph (eV/atom) = 0.000

Cell and atoms, written as CIF:
```
data_PmMg2Pb5
_chemical_formula_sum 'Pm2 Mg4 Pb10'
_space_group_name_H-M_alt 'P 1'
_space_group_IT_number 1
_cell_length_a 5.503
_cell_length_b 6.605
_cell_length_c 12.665
_cell_angle_alpha 90.00
_cell_angle_beta 90.00
_cell_angle_gamma 90.00
loop_
_space_group_symop_operation_xyz
'x,y,z'
loop_
_atom_site_label
_atom_site_type_symbol
_atom_site_fract_x
_atom_site_fract_y
_atom_site_fract_z
_atom_site_occupancy
Pm1 Pm 0.000 0.500 0.000 1
Pb1 Pb 0.500 0.311 0.128 1
Pb2 Pb 0.500 0.689 0.872 1
Pb3 Pb 0.500 0.189 0.628 1
Pb4 Pb 0.000 0.289 0.759 1
Pb5 Pb 0.500 0.811 0.372 1
Mg1 Mg 0.500 0.314 0.387 1
Pb6 Pb 0.000 0.500 0.500 1
Mg2 Mg 0.500 0.186 0.887 1
Pb7 Pb 0.000 0.211 0.259 1
Pb8 Pb 0.000 0.000 0.000 1
Mg3 Mg 0.500 0.686 0.613 1
Pm2 Pm 0.000 0.000 0.500 1
Pb9 Pb 0.000 0.711 0.241 1
Pb10 Pb 0.000 0.789 0.741 1
Mg4 Mg 0.500 0.814 0.113 1
```

The following is a DFT calculation (PBE-GGA) of crystalline Np4PSeS2 at its relaxed geometry.

Values from the calculation:
- formation energy (no corrections) (meV per atom) = -1167
- E_tot (eV per atom) = -9.78
- M_tot (μB/atom) = 2.069

Cell and atoms, written as CIF:
```
data_Np4PSeS2
_chemical_formula_sum 'Np4 P1 Se1 S2'
_space_group_name_H-M_alt 'P 1'
_space_group_IT_number 1
_cell_length_a 5.623
_cell_length_b 5.623
_cell_length_c 6.884
_cell_angle_alpha 114.10
_cell_angle_beta 114.10
_cell_angle_gamma 90.00
loop_
_space_group_symop_operation_xyz
'x,y,z'
loop_
_atom_site_label
_atom_site_type_symbol
_atom_site_fract_x
_atom_site_fract_y
_atom_site_fract_z
_atom_site_occupancy
Np1 Np 0.000 0.500 0.000 1
P1 P 0.750 0.250 0.500 1
Se1 Se 0.500 0.500 0.000 1
Np2 Np 0.244 0.244 0.488 1
S1 S 0.000 0.000 0.000 1
Np3 Np 0.756 0.756 0.512 1
S2 S 0.250 0.750 0.500 1
Np4 Np 0.500 0.000 0.000 1
```

The following is a DFT calculation (PBE-GGA) of crystalline CaLa3Ni at its relaxed geometry.

Values from the calculation:
- formation energy from the elements (meV per atom) = -39
- E_tot (eV per atom) = -4.55
- M_tot (μB/atom) = 0.000
- E above lowest polymorph (eV/atom) = 0.060

Cell and atoms, written as CIF:
```
data_CaLa3Ni
_chemical_formula_sum 'Ca1 La3 Ni1'
_space_group_name_H-M_alt 'P 1'
_space_group_IT_number 1
_cell_length_a 5.637
_cell_length_b 5.637
_cell_length_c 5.637
_cell_angle_alpha 90.00
_cell_angle_beta 90.00
_cell_angle_gamma 90.00
loop_
_space_group_symop_operation_xyz
'x,y,z'
loop_
_atom_site_label
_atom_site_type_symbol
_atom_site_fract_x
_atom_site_fract_y
_atom_site_fract_z
_atom_site_occupancy
Ni1 Ni 0.000 0.000 0.000 1
La1 La 0.000 0.500 0.000 1
Ca1 Ca 0.500 0.500 0.500 1
La2 La 0.000 0.000 0.500 1
La3 La 0.500 0.000 0.000 1
```

The following is a DFT calculation (PBE-GGA) of crystalline Ti2VIr2 at its relaxed geometry.

Values from the calculation:
- formation energy from the elements (meV per atom) = -439
- E_tot (eV per atom) = -8.96
- M_tot (μB/atom) = 0.492
- E above lowest polymorph (eV/atom) = 0.000

Cell and atoms, written as CIF:
```
data_Ti2VIr2
_chemical_formula_sum 'Ti4 V2 Ir4'
_space_group_name_H-M_alt 'P 1'
_space_group_IT_number 1
_cell_length_a 7.352
_cell_length_b 7.352
_cell_length_c 2.958
_cell_angle_alpha 90.00
_cell_angle_beta 90.00
_cell_angle_gamma 90.00
loop_
_space_group_symop_operation_xyz
'x,y,z'
loop_
_atom_site_label
_atom_site_type_symbol
_atom_site_fract_x
_atom_site_fract_y
_atom_site_fract_z
_atom_site_occupancy
Ir1 Ir 0.361 0.861 0.000 1
V1 V 0.500 0.500 0.000 1
V2 V 0.000 0.000 0.000 1
Ir2 Ir 0.639 0.139 0.000 1
Ti1 Ti 0.660 0.840 0.500 1
Ti2 Ti 0.340 0.160 0.500 1
Ir3 Ir 0.139 0.361 0.000 1
Ir4 Ir 0.861 0.639 0.000 1
Ti3 Ti 0.160 0.660 0.500 1
Ti4 Ti 0.840 0.340 0.500 1
```

The following is a DFT calculation (PBE-GGA) of crystalline PuNbPt at its relaxed geometry.

Values from the calculation:
- formation energy from the elements (meV per atom) = -110
- E_tot (eV per atom) = -10.26
- M_tot (μB/atom) = 1.536
- E above lowest polymorph (eV/atom) = 0.140

Cell and atoms, written as CIF:
```
data_PuNbPt
_chemical_formula_sum 'Pu1 Nb1 Pt1'
_space_group_name_H-M_alt 'P 1'
_space_group_IT_number 1
_cell_length_a 2.809
_cell_length_b 4.884
_cell_length_c 4.884
_cell_angle_alpha 120.00
_cell_angle_beta 90.00
_cell_angle_gamma 90.00
loop_
_space_group_symop_operation_xyz
'x,y,z'
loop_
_atom_site_label
_atom_site_type_symbol
_atom_site_fract_x
_atom_site_fract_y
_atom_site_fract_z
_atom_site_occupancy
Pu1 Pu 0.667 0.667 0.333 1
Pt1 Pt 0.166 0.333 0.667 1
Nb1 Nb 0.167 0.000 0.000 1
```

The following is a DFT calculation (PBE-GGA) of crystalline Tl2I at its relaxed geometry.

Values from the calculation:
- formation energy (no corrections) (meV per atom) = -219
- E_tot (eV per atom) = -2.31
- M_tot (μB/atom) = 0.000
- E above lowest polymorph (eV/atom) = 0.042

Cell and atoms, written as CIF:
```
data_Tl2I
_chemical_formula_sum 'Tl4 I2'
_space_group_name_H-M_alt 'P 1'
_space_group_IT_number 1
_cell_length_a 6.789
_cell_length_b 6.789
_cell_length_c 6.789
_cell_angle_alpha 60.00
_cell_angle_beta 60.00
_cell_angle_gamma 60.00
loop_
_space_group_symop_operation_xyz
'x,y,z'
loop_
_atom_site_label
_atom_site_type_symbol
_atom_site_fract_x
_atom_site_fract_y
_atom_site_fract_z
_atom_site_occupancy
Tl1 Tl 0.625 0.625 0.125 1
Tl2 Tl 0.625 0.125 0.625 1
Tl3 Tl 0.125 0.625 0.625 1
I1 I 0.000 0.000 0.000 1
Tl4 Tl 0.625 0.625 0.625 1
I2 I 0.250 0.250 0.250 1
```

The following is a DFT calculation (PBE-GGA) of crystalline ScTcTe2 at its relaxed geometry.

Values from the calculation:
- formation energy (no corrections) (meV per atom) = 275
- E_tot (eV per atom) = -5.47
- M_tot (μB/atom) = 0.039
- E above lowest polymorph (eV/atom) = 0.667

Cell and atoms, written as CIF:
```
data_ScTcTe2
_chemical_formula_sum 'Sc1 Tc1 Te2'
_space_group_name_H-M_alt 'P 1'
_space_group_IT_number 1
_cell_length_a 4.965
_cell_length_b 4.965
_cell_length_c 4.965
_cell_angle_alpha 60.00
_cell_angle_beta 60.00
_cell_angle_gamma 60.00
loop_
_space_group_symop_operation_xyz
'x,y,z'
loop_
_atom_site_label
_atom_site_type_symbol
_atom_site_fract_x
_atom_site_fract_y
_atom_site_fract_z
_atom_site_occupancy
Te1 Te 0.250 0.250 0.250 1
Sc1 Sc 0.500 0.500 0.500 1
Te2 Te 0.000 0.000 0.000 1
Tc1 Tc 0.750 0.750 0.750 1
```